a.
Material: PdPt2W
Method: DFT, PBE
State: relaxed

The space group is R3m (No. 160, hexagonal axes) and the conventional cell measures 2.8173, 2.8173 and 27.3527 Å, with angles of 90.00, 90.00 and 120.00 degrees. The distinct sites, in fractional coordinates, are Pd at (0.0000, 0.0000, 0.0000), Pt at (0.0000, 0.0000, 0.5806), Pt at (0.0000, 0.0000, 0.7528) and W at (0.0000, 0.0000, 0.1665).

The calculation puts the volume at 188 Å³ per cell.



b.
Material: PdPt2W
Method: DFT, PBE
State: relaxed

The space group is P4/mmm (No. 123) and the conventional cell measures 2.794, 2.794 and 7.986 Å, with angles of 90.00, 90.00 and 90.00 degrees. The distinct sites, in fractional coordinates, are Pd at (0.000, 0.000, 0.000), Pt at (0.500, 0.500, 0.260) and W at (0.000, 0.000, 0.500).

The calculation puts the volume at 62 Å³ per cell.



Which structure above is the least stable? It is a.